Entry 1:
UTi2Zn (PBE, optimized geometry); crystal system = cubic; energy above the most stable polymorph in this dataset = 144 meV per atom; calculated volume = 69.63 Å³/f.u.; space group = No. 225; DFT total energy = -6.882 eV per atom; energy relative to the elements = 0.206 eV per atom
1.0
0.000 3.265 3.265
3.265 0.000 3.265
3.265 3.265 0.000
U Ti Zn
1 2 1
Cartesian
0.000 0.000 0.000 U
1.633 1.633 1.633 Ti
4.898 4.898 4.898 Ti
3.265 3.265 3.265 Zn

=====

Entry 2:
Li2Ru2O5 (PBE, optimized geometry); crystal system = monoclinic; calculated volume = 98.19 Å³/f.u.; space group = No. 12; DFT total energy = -6.405 eV per atom; raw formation energy = -1164 meV/atom
1.0
4.891 -1.565 0.000
4.891 1.565 0.000
-4.053 0.000 6.415
Li Ru O
2 2 5
Cartesian
1.469 0.000 0.424 Li
4.260 0.000 5.990 Li
1.596 0.000 3.949 Ru
4.134 0.000 2.466 Ru
-2.027 0.000 3.207 O
0.498 0.000 2.118 O
3.427 0.000 0.759 O
2.303 0.000 5.656 O
5.232 0.000 4.297 O